# Na2DyMoO4

A geometry-optimized Na2DyMoO4 structure (PBE with a Hubbard U, Alexandria via LeMat-Bulk).

Uncorrected energy, eV/atom: -6.508

abc: 3.3605 5.6991 5.8731
angles: 109.09 90.00 90.00
With the nearest neighbours (Å) after each atom.
Atoms (fractional coordinates):
Na  0.5000  0.0000  0.5000  6 O 2.45-2.48
Na  0.0000  0.5000  0.5000  6 O 2.50-2.54
Dy  0.5000  0.5000  0.0000  6 O 2.28-2.29
Mo  0.0000  0.0000  0.0000  6 O 2.22-2.23
O  0.5000  0.2251  0.2096  2 Mo 2.23, 1 Dy 2.29, 1 Na 2.45
O  0.5000  0.7749  0.7904  2 Mo 2.23, 1 Dy 2.29, 1 Na 2.45
O  0.0000  0.2566  0.7859  1 Mo 2.22, 2 Dy 2.28
O  0.0000  0.7434  0.2141  1 Mo 2.22, 2 Dy 2.28